[1]
First-principles (PBE-GGA) data for a relaxed structure of Tm2Be4GaPt3, as listed in Alexandria via LeMat-Bulk.

Unit cell a=3.9361 b=3.9361 c=9.7633 alpha=90.00 beta=90.00 gamma=90.00
Last column: nearest neighbours and their distance in Å.
Element x y z (fractional)
1 Tm 0.0000 0.5000 0.2482  8 Be 3.00-3.12, 6 Pt 3.03-3.15, 2 Ga 3.15
2 Tm 0.5000 0.0000 0.7518  8 Be 3.00-3.12, 6 Pt 3.03-3.15, 2 Ga 3.15
3 Be 0.0000 0.0000 0.0000  4 Pt 2.31
4 Be 0.0000 0.5000 0.6372  3 Pt 2.32-2.38, 2 Ga 2.38
5 Be 0.5000 0.0000 0.3628  3 Pt 2.32-2.38, 2 Ga 2.38
6 Be 0.5000 0.5000 0.0000  4 Pt 2.31
7 Ga 0.0000 0.0000 0.5000  4 Be 2.38
8 Pt 0.0000 0.5000 0.8753  5 Be 2.31-2.32
9 Pt 0.5000 0.0000 0.1247  5 Be 2.31-2.32
10 Pt 0.5000 0.5000 0.5000  4 Be 2.38

For the theoretical density, the calculation gives 11.3 g/cm³. The formation energy from the elements is -0.77 eV/atom.

[2]
First-principles (PBE-GGA) data for a relaxed structure of TbSCl, as listed in Alexandria via LeMat-Bulk.

Unit cell a=7.1379 b=7.1379 c=7.1379 alpha=151.84 beta=151.84 gamma=40.25
Last column: nearest neighbours and their distance in Å.
Element x y z (fractional)
1 Tb 0.0000 0.0000 0.0000  4 S 2.77, 4 Cl 3.06
2 S 0.4045 0.4045 0.0000  4 Tb 2.77
3 Cl 0.6364 0.6364 0.0000  4 Tb 3.06, 1 S 3.11

For the theoretical density, the calculation gives 4.7 g/cm³. The value obtained for the formation energy (no corrections) is -1.8065 eV per atom.

- The lowest theoretical density belongs to which entry?
  TbSCl

- What is the theoretical density in the second record?
  4.7 g/cm³

- Which value of theoretical density does entry 2 give?
  4.7 g/cm³

- The lowest theoretical density belongs to which entry?
  TbSCl